Version P
Here is crystalline BaIn4Pt2 at its relaxed geometry from Alexandria via LeMat-Bulk. Energies are from PBE-GGA.

POSCAR file:
```
BaIn4Pt2
1.0
-0.498 4.063 2.015
-7.921 -0.475 -1.000
-1.626 -8.616 16.971
In Pt Ba
16 8 4
Direct
0.250 0.843 0.190 In
0.250 0.996 0.908 In
0.250 0.234 0.200 In
0.250 0.264 0.538 In
0.750 0.157 0.810 In
0.750 0.734 0.300 In
0.250 0.657 0.690 In
0.250 0.504 0.408 In
0.750 0.004 0.092 In
0.750 0.496 0.592 In
0.250 0.236 0.038 In
0.250 0.266 0.700 In
0.750 0.766 0.800 In
0.750 0.343 0.310 In
0.750 0.736 0.462 In
0.750 0.764 0.962 In
0.750 0.044 0.234 Pt
0.250 0.667 0.542 Pt
0.250 0.833 0.042 Pt
0.750 0.333 0.458 Pt
0.250 0.956 0.766 Pt
0.750 0.167 0.958 Pt
0.250 0.544 0.266 Pt
0.750 0.456 0.734 Pt
0.750 0.526 0.120 Ba
0.750 0.974 0.620 Ba
0.250 0.474 0.880 Ba
0.250 0.026 0.380 Ba
```

**M_tot**: 0.0 μB/cell
**V**: 697.1 Å³ per cell

Version Q
Here is crystalline BaIn4Pt2 at its relaxed geometry from Alexandria via LeMat-Bulk. Energies are from PBE-GGA.

POSCAR file:
```
BaIn4Pt2
1.0
-2.675 -2.305 3.025
-0.244 -3.675 -3.016
6.681 -1.358 4.871
In Pt Ba
4 2 1
Direct
0.000 0.320 0.640 In
0.000 0.680 0.360 In
0.500 0.175 0.350 In
0.500 0.825 0.650 In
0.500 0.416 0.832 Pt
0.500 0.584 0.168 Pt
0.000 0.000 0.000 Ba
```

**M_tot**: 0.0 μB/cell
**V**: 177.8 Å³ per cell

Quick one: least stable of them? version Q

Version P
Here is crystalline BaIn4Pt4 at its relaxed geometry from Alexandria via LeMat-Bulk. Energies are from PBE-GGA.

POSCAR file:
```
BaIn4Pt4
1.0
-2.111 -3.198 -3.702
-3.591 -5.298 6.625
-7.658 5.119 -0.057
In Pt Ba
8 8 2
Direct
0.415 0.634 0.119 In
0.585 0.119 0.366 In
0.085 0.866 0.381 In
0.085 0.134 0.619 In
0.915 0.619 0.866 In
0.585 0.881 0.634 In
0.415 0.366 0.881 In
0.915 0.381 0.134 In
0.580 0.178 0.666 Pt
0.080 0.166 0.322 Pt
0.420 0.666 0.822 Pt
0.920 0.678 0.166 Pt
0.080 0.834 0.678 Pt
0.920 0.322 0.834 Pt
0.420 0.334 0.178 Pt
0.580 0.822 0.334 Pt
0.500 0.500 0.500 Ba
0.000 0.000 0.000 Ba
```

**M_tot**: 0.0 μB/cell
**V**: 452.1 Å³ per cell

Version Q
Here is crystalline BaIn4Pt4 at its relaxed geometry from Alexandria via LeMat-Bulk. Energies are from PBE-GGA.

POSCAR file:
```
BaIn4Pt4
1.0
-0.291 -6.556 1.975
4.170 -1.738 -5.154
7.112 1.287 5.321
Pt In Ba
8 8 2
Direct
0.000 0.303 0.677 Pt
0.697 0.000 0.323 Pt
0.197 0.500 0.177 Pt
0.500 0.803 0.823 Pt
0.500 0.197 0.823 Pt
0.803 0.500 0.177 Pt
0.303 0.000 0.323 Pt
0.000 0.697 0.677 Pt
0.000 0.252 0.373 In
0.752 0.500 0.873 In
0.500 0.752 0.127 In
0.000 0.748 0.373 In
0.500 0.248 0.127 In
0.748 0.000 0.627 In
0.252 0.000 0.627 In
0.248 0.500 0.873 In
0.000 0.000 0.000 Ba
0.500 0.500 0.500 Ba
```

**M_tot**: 0.0 μB/cell
**V**: 421.5 Å³ per cell

Quick one: least stable of them? version P

Version P
Here is crystalline Ba2In5Pt3 at its relaxed geometry from Alexandria via LeMat-Bulk. Energies are from PBE-GGA.

POSCAR file:
```
Ba2In5Pt3
1.0
-0.150 -3.277 -3.468
-1.080 -5.456 5.202
-13.598 3.359 0.700
In Pt Ba
10 6 4
Direct
0.872 0.746 0.745 In
0.946 0.103 0.892 In
0.128 0.246 0.255 In
0.290 0.508 0.579 In
0.294 0.903 0.588 In
0.710 0.008 0.421 In
0.706 0.403 0.412 In
0.054 0.603 0.108 In
0.399 0.405 0.799 In
0.601 0.905 0.201 In
0.390 0.028 0.780 Pt
0.052 0.980 0.104 Pt
0.772 0.703 0.544 Pt
0.228 0.203 0.456 Pt
0.610 0.528 0.220 Pt
0.948 0.480 0.896 Pt
0.523 0.275 0.046 Ba
0.477 0.775 0.954 Ba
0.176 0.714 0.352 Ba
0.824 0.214 0.648 Ba
```

**M_tot**: 0.0 μB/cell
**V**: 502.5 Å³ per cell

Version Q
Here is crystalline Ba2In5Pt3 at its relaxed geometry from Alexandria via LeMat-Bulk. Energies are from PBE-GGA.

POSCAR file:
```
Ba2In5Pt3
1.0
-4.398 -5.192 0.379
3.729 -7.920 -3.938
2.623 -6.196 6.846
Pt In Ba
6 10 4
Direct
0.616 0.515 0.252 Pt
0.250 0.000 0.000 Pt
0.116 0.252 0.515 Pt
0.750 0.000 0.000 Pt
0.884 0.748 0.485 Pt
0.384 0.485 0.748 Pt
0.522 0.728 0.728 In
0.879 0.998 0.243 In
0.379 0.243 0.998 In
0.750 0.500 0.500 In
0.621 0.757 0.002 In
0.478 0.272 0.272 In
0.022 0.728 0.728 In
0.121 0.002 0.757 In
0.978 0.272 0.272 In
0.250 0.500 0.500 In
0.379 0.885 0.357 Ba
0.621 0.115 0.643 Ba
0.121 0.643 0.115 Ba
0.879 0.357 0.885 Ba
```

**M_tot**: 0.0 μB/cell
**V**: 531.1 Å³ per cell

Quick one: least stable of them? version P

Version P
Here is crystalline BaIn9Pt2 at its relaxed geometry from Alexandria via LeMat-Bulk. Energies are from PBE-GGA.

POSCAR file:
```
BaIn9Pt2
1.0
-0.749 -1.869 -3.861
-2.513 -7.752 4.240
-6.272 6.437 -1.900
In Pt Ba
9 2 1
Direct
0.500 0.795 0.205 In
0.000 0.000 0.500 In
0.500 0.589 0.795 In
0.500 0.205 0.411 In
0.000 0.500 0.000 In
0.500 0.411 0.205 In
0.500 0.205 0.795 In
0.500 0.795 0.589 In
0.000 0.500 0.500 In
0.000 0.333 0.667 Pt
0.000 0.667 0.333 Pt
0.000 0.000 0.000 Ba
```

**M_tot**: 0.0 μB/cell
**V**: 318.2 Å³ per cell

Version Q
Here is crystalline BaIn9Pt2 at its relaxed geometry from Alexandria via LeMat-Bulk. Energies are from PBE-GGA.

POSCAR file:
```
BaIn9Pt2
1.0
-1.778 7.788 -2.933
-6.628 4.868 4.599
4.997 7.139 3.582
In Pt Ba
18 4 2
Direct
0.002 0.927 0.682 In
0.000 0.000 0.000 In
0.138 0.182 0.427 In
0.612 0.318 0.073 In
0.316 0.073 0.682 In
0.316 0.682 0.073 In
0.679 0.182 0.573 In
0.434 0.818 0.427 In
0.612 0.073 0.318 In
0.750 0.500 0.500 In
0.002 0.682 0.927 In
0.748 0.818 0.573 In
0.434 0.427 0.818 In
0.679 0.573 0.182 In
0.071 0.318 0.927 In
0.071 0.927 0.318 In
0.138 0.427 0.182 In
0.748 0.573 0.818 In
0.375 0.750 0.750 Pt
0.875 0.250 0.250 Pt
0.875 0.750 0.250 Pt
0.875 0.250 0.750 Pt
0.250 0.500 0.500 Ba
0.500 0.000 0.000 Ba
```

**M_tot**: 0.0 μB/cell
**V**: 601.4 Å³ per cell

Quick one: least stable of them? version Q

Version P
Here is crystalline Ba2TlInPt at its relaxed geometry from Alexandria via LeMat-Bulk. Energies are from PBE-GGA.

POSCAR file:
```
Ba2TlInPt
1.0
-3.856 -1.595 4.513
4.758 -0.640 3.839
-0.452 5.061 1.403
Ba In Tl Pt
2 1 1 1
Direct
0.000 0.500 0.000 Ba
0.500 0.000 0.000 Ba
0.500 0.500 0.500 In
0.000 0.000 0.500 Tl
0.000 0.000 0.000 Pt
```

**M_tot**: 0.0 μB/cell
**V**: 199.2 Å³ per cell

Version Q
Here is crystalline Ba2TlInPt at its relaxed geometry from Alexandria via LeMat-Bulk. Energies are from PBE-GGA.

POSCAR file:
```
Ba2TlInPt
1.0
-4.025 -0.019 4.662
3.491 -4.094 2.998
2.608 3.885 2.268
Ba In Tl Pt
2 1 1 1
Direct
0.000 0.500 0.000 Ba
0.500 0.000 0.000 Ba
0.000 0.000 0.500 In
0.500 0.500 0.500 Tl
0.000 0.000 0.000 Pt
```

**M_tot**: 0.0 μB/cell
**V**: 197.3 Å³ per cell

Quick one: least stable of them? version P

Version P
Here is crystalline BaTlIn2Pt at its relaxed geometry from Alexandria via LeMat-Bulk. Energies are from PBE-GGA.

POSCAR file:
```
BaTlIn2Pt
1.0
-2.519 3.315 -3.232
-4.544 -2.473 1.005
-1.011 3.731 4.613
Ba Tl In Pt
1 1 2 1
Direct
0.000 0.000 0.500 Ba
0.500 0.500 0.500 Tl
0.000 0.500 0.000 In
0.500 0.000 0.000 In
0.000 0.000 0.000 Pt
```

**M_tot**: 0.0 μB/cell
**V**: 167.2 Å³ per cell

Version Q
Here is crystalline BaTlIn2Pt at its relaxed geometry from Alexandria via LeMat-Bulk. Energies are from PBE-GGA.

POSCAR file:
```
BaTlIn2Pt
1.0
5.290 0.000 0.000
0.000 5.290 0.000
0.000 0.000 5.515
In Ba Tl Pt
2 1 1 1
Direct
0.000 0.500 0.000 In
0.500 0.000 0.000 In
0.500 0.500 0.500 Ba
0.000 0.000 0.500 Tl
0.000 0.000 0.000 Pt
```

**M_tot**: 0.0 μB/cell
**V**: 154.3 Å³ per cell

Quick one: least stable of them? version Q

Version P
Here is crystalline Ba2ZnInPt at its relaxed geometry from Alexandria via LeMat-Bulk. Energies are from PBE-GGA.

POSCAR file:
```
Ba2ZnInPt
1.0
-5.667 2.298 0.373
-0.257 -1.594 5.910
1.855 4.370 1.260
Zn Pt Ba In
1 1 2 1
Direct
0.000 0.000 0.500 Zn
0.000 0.000 0.000 Pt
0.000 0.500 0.000 Ba
0.500 0.000 0.000 Ba
0.500 0.500 0.500 In
```

**M_tot**: 0.0 μB/cell
**V**: 184.4 Å³ per cell

Version Q
Here is crystalline Ba2ZnInPt at its relaxed geometry from Alexandria via LeMat-Bulk. Energies are from PBE-GGA.

POSCAR file:
```
Ba2ZnInPt
1.0
6.160 0.000 0.000
0.000 6.160 0.000
0.000 0.000 5.186
Zn In Pt Ba
1 1 1 2
Direct
0.500 0.500 0.500 Zn
0.000 0.000 0.500 In
0.000 0.000 0.000 Pt
0.000 0.500 0.000 Ba
0.500 0.000 0.000 Ba
```

**M_tot**: 0.0 μB/cell
**V**: 196.8 Å³ per cell

Quick one: least stable of them? version Q

Version P
Here is crystalline RbBa2In2 at its relaxed geometry from Alexandria via LeMat-Bulk. Energies are from PBE-GGA.

POSCAR file:
```
RbBa2In2
1.0
6.667 0.000 0.000
0.000 6.667 0.000
3.333 3.333 5.495
Ba In Rb
2 2 1
Direct
0.250 0.750 0.500 Ba
0.750 0.250 0.500 Ba
0.373 0.373 0.254 In
0.627 0.627 0.746 In
0.000 0.000 0.000 Rb
```

**M_tot**: 0.0 μB/cell
**V**: 244.2 Å³ per cell

Version Q
Here is crystalline RbBa2In2 at its relaxed geometry from Alexandria via LeMat-Bulk. Energies are from PBE-GGA.

POSCAR file:
```
RbBa2In2
1.0
10.371 0.000 0.000
0.000 10.371 0.000
0.000 0.000 4.048
In Ba Rb
4 4 2
Direct
0.149 0.649 0.500 In
0.351 0.149 0.500 In
0.649 0.851 0.500 In
0.851 0.351 0.500 In
0.355 0.855 0.000 Ba
0.145 0.355 0.000 Ba
0.645 0.145 0.000 Ba
0.855 0.645 0.000 Ba
0.000 0.000 0.000 Rb
0.500 0.500 0.000 Rb
```

**M_tot**: 0.0 μB/cell
**V**: 435.4 Å³ per cell

Quick one: least stable of them? version P

Version P
Here is crystalline Rb3BaIn at its relaxed geometry from Alexandria via LeMat-Bulk. Energies are from PBE-GGA.

POSCAR file:
```
Rb3BaIn
1.0
7.207 0.000 0.000
0.000 7.207 0.000
0.000 0.000 7.207
In Rb Ba
1 3 1
Direct
0.000 0.000 0.000 In
0.500 0.000 0.000 Rb
0.000 0.000 0.500 Rb
0.000 0.500 0.000 Rb
0.500 0.500 0.500 Ba
```

**M_tot**: 0.0 μB/cell
**V**: 374.3 Å³ per cell

Version Q
Here is crystalline Rb3BaIn at its relaxed geometry from Alexandria via LeMat-Bulk. Energies are from PBE-GGA.

POSCAR file:
```
Rb3BaIn
1.0
8.117 0.000 0.000
0.000 8.117 0.000
0.000 0.000 8.117
Ba Rb In
1 3 1
Direct
0.000 0.000 0.000 Ba
0.500 0.000 0.000 Rb
0.000 0.000 0.500 Rb
0.000 0.500 0.000 Rb
0.500 0.500 0.500 In
```

**M_tot**: 0.0 μB/cell
**V**: 534.9 Å³ per cell

Quick one: least stable of them? version Q

Version P
Here is crystalline RbBaIn3 at its relaxed geometry from Alexandria via LeMat-Bulk. Energies are from PBE-GGA.

POSCAR file:
```
RbBaIn3
1.0
6.520 0.000 0.000
0.000 6.520 0.000
0.000 0.000 6.520
Ba In Rb
1 3 1
Direct
0.000 0.000 0.000 Ba
0.000 0.000 0.500 In
0.000 0.500 0.000 In
0.500 0.000 0.000 In
0.500 0.500 0.500 Rb
```

**M_tot**: 0.0 μB/cell
**V**: 277.2 Å³ per cell

Version Q
Here is crystalline RbBaIn3 at its relaxed geometry from Alexandria via LeMat-Bulk. Energies are from PBE-GGA.

POSCAR file:
```
RbBaIn3
1.0
6.194 0.000 0.000
0.000 6.194 0.000
0.000 0.000 6.194
In Ba Rb
3 1 1
Direct
0.000 0.000 0.500 In
0.500 0.000 0.000 In
0.000 0.500 0.000 In
0.500 0.500 0.500 Ba
0.000 0.000 0.000 Rb
```

**M_tot**: 0.0 μB/cell
**V**: 237.6 Å³ per cell

Quick one: least stable of them? version Q

Version P
Here is crystalline RbBaIn at its relaxed geometry from Alexandria via LeMat-Bulk. Energies are from PBE-GGA.

POSCAR file:
```
RbBaIn
1.0
4.404 0.000 0.000
0.000 4.404 0.000
-2.202 -2.202 8.176
In Rb Ba
1 1 1
Direct
0.318 0.318 0.636 In
0.971 0.971 0.942 Rb
0.711 0.711 0.422 Ba
```

**M_tot**: 0.0 μB/cell
**V**: 158.6 Å³ per cell

Version Q
Here is crystalline RbBaIn at its relaxed geometry from Alexandria via LeMat-Bulk. Energies are from PBE-GGA.

POSCAR file:
```
RbBaIn
1.0
5.006 0.000 0.000
0.000 5.095 -0.861
0.000 -0.333 13.531
In Ba Rb
2 2 2
Direct
0.250 0.468 0.936 In
0.750 0.532 0.064 In
0.750 0.934 0.868 Ba
0.250 0.066 0.132 Ba
0.250 0.316 0.632 Rb
0.750 0.684 0.368 Rb
```

**M_tot**: 0.0 μB/cell
**V**: 343.7 Å³ per cell

Quick one: least stable of them? version P